Below is KGe2Au5 after structural relaxation, with properties calculated at the PBE level.

a b c (Å): 4.559 6.781 6.781
angles (deg): 64.96 70.36 70.36
Positions (direct):
K: 0.000 0.000 0.000
Ge: 0.756 0.744 0.744
Ge: 0.244 0.256 0.256
Au: 0.000 0.500 0.500
Au: 0.644 0.550 0.163
Au: 0.356 0.450 0.837
Au: 0.356 0.837 0.450
Au: 0.644 0.163 0.550

Summary:
Formation energy in eV/atom: -0.1219
Spin magnetization in μB per formula unit: 0.000
E_tot in eV/atom: -3.46